1.
First-principles (GGA-PBE) data for a geometry-optimized Ce3RhAu structure, as listed in Alexandria. Values from VASP.

Computed properties:
Volume ... 26.44 Å³ per atom
Calculated formation energy ... -0.49 eV/atom
Raw total energy ... -6.1797 eV per atom
Energy above the lowest structure with this stoichiometry ... 0 meV per atom

```
&SYSTEM
  ibrav = 0, nat = 10, ntyp = 3
/
ATOMIC_SPECIES
Ce 140.12 Ce.upf
Rh 102.91 Rh.upf
Au 196.97 Au.upf
CELL_PARAMETERS angstrom
3.703 -4.157 0.000
3.703 4.157 0.000
-0.121 0.000 8.587
ATOMIC_POSITIONS crystal
Ce 0.215 0.785 0.000
Ce 0.259 0.259 0.330
Ce 0.265 0.265 0.677
Ce 0.735 0.735 0.323
Ce 0.741 0.741 0.670
Ce 0.785 0.215 0.000
Rh 0.297 0.297 0.005
Rh 0.703 0.703 0.995
Au 0.241 0.759 0.500
Au 0.759 0.241 0.500
```



2.
First-principles (GGA-PBE) data for a geometry-optimized Ba2Be structure, as listed in Alexandria. Values from VASP.

Computed properties:
Volume ... 35.51 Å³ per atom
Calculated formation energy ... 0.77 eV/atom
Raw total energy ... -1.7523 eV per atom
Energy above the lowest structure with this stoichiometry ... 414 meV per atom

```
&SYSTEM
  ibrav = 0, nat = 3, ntyp = 2
/
ATOMIC_SPECIES
Ba 137.33 Ba.upf
Be 9.01 Be.upf
CELL_PARAMETERS angstrom
5.833 0.000 0.000
-2.916 5.051 0.000
0.000 0.000 3.616
ATOMIC_POSITIONS crystal
Ba 0.333 0.667 0.000
Ba 0.667 0.333 0.000
Be 0.000 0.000 0.500
```



3.
First-principles (GGA-PBE) data for a geometry-optimized ZnP2IrO structure, as listed in Alexandria. Values from VASP.

Computed properties:
Volume ... 17.41 Å³ per atom
Raw total energy ... -4.8651 eV per atom
Energy above the lowest structure with this stoichiometry ... 0 meV per atom
Formation energy without anion corrections ... 317 meV/atom

```
&SYSTEM
  ibrav = 0, nat = 5, ntyp = 4
/
ATOMIC_SPECIES
Zn 65.41 Zn.upf
P 30.97 P.upf
Ir 192.22 Ir.upf
O 16.00 O.upf
CELL_PARAMETERS angstrom
4.854 0.000 0.000
0.000 4.854 0.000
0.000 0.000 3.693
ATOMIC_POSITIONS crystal
Zn 0.000 0.000 0.000
P 0.000 0.500 0.500
P 0.500 0.000 0.500
Ir 0.500 0.500 0.500
O 0.500 0.500 0.000
```



4.
First-principles (GGA-PBE) data for a geometry-optimized MnBeVOs2 structure, as listed in Alexandria. Values from VASP.

Computed properties:
Volume ... 13.02 Å³ per atom
Calculated formation energy ... 0.69 eV/atom
Raw total energy ... -8.2025 eV per atom

```
&SYSTEM
  ibrav = 0, nat = 5, ntyp = 4
/
ATOMIC_SPECIES
Mn 54.94 Mn.upf
Be 9.01 Be.upf
V 50.94 V.upf
Os 190.23 Os.upf
CELL_PARAMETERS angstrom
4.041 0.000 0.000
0.000 4.041 0.000
0.000 0.000 3.988
ATOMIC_POSITIONS crystal
Mn 0.000 0.000 0.000
Be 0.500 0.500 0.500
V 0.500 0.500 0.000
Os 0.000 0.500 0.500
Os 0.500 0.000 0.500
```



Repeat the third record exactly.
First-principles (GGA-PBE) data for a geometry-optimized ZnP2IrO structure, as listed in Alexandria. Values from VASP.

Computed properties:
Volume ... 17.41 Å³ per atom
Raw total energy ... -4.8651 eV per atom
Energy above the lowest structure with this stoichiometry ... 0 meV per atom
Formation energy without anion corrections ... 317 meV/atom

```
&SYSTEM
  ibrav = 0, nat = 5, ntyp = 4
/
ATOMIC_SPECIES
Zn 65.41 Zn.upf
P 30.97 P.upf
Ir 192.22 Ir.upf
O 16.00 O.upf
CELL_PARAMETERS angstrom
4.854 0.000 0.000
0.000 4.854 0.000
0.000 0.000 3.693
ATOMIC_POSITIONS crystal
Zn 0.000 0.000 0.000
P 0.000 0.500 0.500
P 0.500 0.000 0.500
Ir 0.500 0.500 0.500
O 0.500 0.500 0.000
```